# YMg2Ge2 | Alexandria via LeMat-Bulk | GGA-PBEsol | relaxed
# **Energy of formation from the pure elements**: -473 meV per atom
# **Fermi-level density of states**: 4.594 states/eV/cell
# **Raw total energy**: -4.50 eV/atom
# **Crystal system**: tetragonal
data_YMg2Ge2
_chemical_formula_sum 'Y2 Mg4 Ge4'
_cell_length_a 4.1811
_cell_length_b 4.1811
_cell_length_c 11.7805
_cell_angle_alpha 90.00
_cell_angle_beta 90.00
_cell_angle_gamma 90.00
_symmetry_space_group_name_H-M 'I 4/m m m'
_symmetry_Int_Tables_number 139
_symmetry_space_group_name_Hall '-I 4 2'
loop_
_atom_site_label
_atom_site_fract_x
_atom_site_fract_y
_atom_site_fract_z
Y1 0.0000 0.0000 0.0000
Mg1 0.0000 0.5000 0.2500
Ge1 0.0000 0.0000 0.3956


# TiSb2HIr | Alexandria via LeMat-Bulk | GGA-PBEsol | relaxed
# **Fermi-level density of states**: 7.022 states/eV/cell
# **Raw total energy**: -5.16 eV/atom
# **Crystal system**: tetragonal
data_TiSb2HIr
_chemical_formula_sum 'Ti1 Sb2 H1 Ir1'
_cell_length_a 5.0221
_cell_length_b 5.0221
_cell_length_c 4.9383
_cell_angle_alpha 90.00
_cell_angle_beta 90.00
_cell_angle_gamma 90.00
_symmetry_space_group_name_H-M 'P 4/m m m'
_symmetry_Int_Tables_number 123
_symmetry_space_group_name_Hall '-P 4 2'
loop_
_atom_site_label
_atom_site_fract_x
_atom_site_fract_y
_atom_site_fract_z
Ti1 0.0000 0.0000 0.0000
Sb1 0.0000 0.5000 0.5000
H1 0.5000 0.5000 0.0000
Ir1 0.0000 0.0000 0.5000


# KSn6Au4 | Alexandria via LeMat-Bulk | GGA-PBEsol | relaxed
# **Energy of formation from the pure elements**: -264 meV per atom
# **Fermi-level density of states**: 29.518 states/eV/cell
# **Raw total energy**: -4.12 eV/atom
# **Crystal system**: orthorhombic
data_KSn6Au4
_chemical_formula_sum 'K8 Sn48 Au32'
_cell_length_a 8.7108
_cell_length_b 10.0173
_cell_length_c 24.1136
_cell_angle_alpha 90.00
_cell_angle_beta 90.00
_cell_angle_gamma 90.00
_symmetry_space_group_name_H-M 'F d d d'
_symmetry_Int_Tables_number 70
loop_
_symmetry_equiv_pos_as_xyz
'x,y,z'
'-x,-y,-z'
'-x+1/4,-y+1/4,z'
'x+1/4,y+1/4,-z'
'x,-y+1/4,-z+1/4'
'-x,y+1/4,z+1/4'
'-x+1/4,y,-z+1/4'
'x+1/4,-y,z+1/4'
'x,y+1/2,z+1/2'
'-x,-y+1/2,-z+1/2'
'-x+1/4,-y+3/4,z+1/2'
'x+1/4,y+3/4,-z+1/2'
'x,-y+3/4,-z+3/4'
'-x,y+3/4,z+3/4'
'-x+1/4,y+1/2,-z+3/4'
'x+1/4,-y+1/2,z+3/4'
'x+1/2,y,z+1/2'
'-x+1/2,-y,-z+1/2'
'-x+3/4,-y+1/4,z+1/2'
'x+3/4,y+1/4,-z+1/2'
'x+1/2,-y+1/4,-z+3/4'
'-x+1/2,y+1/4,z+3/4'
'-x+3/4,y,-z+3/4'
'x+3/4,-y,z+3/4'
'x+1/2,y+1/2,z'
'-x+1/2,-y+1/2,-z'
'-x+3/4,-y+3/4,z'
'x+3/4,y+3/4,-z'
'x+1/2,-y+3/4,-z+1/4'
'-x+1/2,y+3/4,z+1/4'
'-x+3/4,y+1/2,-z+1/4'
'x+3/4,-y+1/2,z+1/4'
loop_
_atom_site_label
_atom_site_fract_x
_atom_site_fract_y
_atom_site_fract_z
K1 0.1250 0.1250 0.1250
Sn1 0.1250 0.2705 0.6250
Sn2 0.1246 0.3727 0.2600
Au1 0.1250 0.1250 0.3178
Au2 0.1250 0.1250 0.4373